# 1
Computed, not measured: a geometry-optimized CoHgSO structure at the PBE+U level of DFT.

a = 3.779 Å, b = 6.566 Å, c = 5.907 Å
α = 90.00°, β = 90.00°, γ = 90.00°
Fractional coordinates of all 8 atoms:
O (0.500, 0.126, 0.207)
Co (0.500, 0.871, 0.039)
S (0.000, 0.693, 0.155)
O (0.500, 0.874, 0.707)
S (0.000, 0.307, 0.655)
Co (0.500, 0.129, 0.539)
Hg (0.000, 0.690, 0.590)
Hg (0.000, 0.310, 0.090)

Energy above the lowest structure with this stoichiometry in meV/atom: 18.4
Size of the total moment in Bohr magnetons per cell: 6.00

# 2
Computed, not measured: a geometry-optimized CoHgSO structure at the PBE+U level of DFT.

a = 4.006 Å, b = 4.006 Å, c = 8.297 Å
α = 90.00°, β = 90.00°, γ = 90.00°
Fractional coordinates of all 8 atoms:
O (0.250, 0.250, 0.128)
Hg (0.250, 0.250, 0.857)
S (0.750, 0.250, 0.500)
O (0.750, 0.750, 0.872)
S (0.250, 0.750, 0.500)
Hg (0.750, 0.750, 0.143)
Co (0.250, 0.250, 0.348)
Co (0.750, 0.750, 0.652)

Energy above the lowest structure with this stoichiometry in meV/atom: 443.2
Size of the total moment in Bohr magnetons per cell: 5.44

# 3
Computed, not measured: a geometry-optimized CoHgSO structure at the PBE+U level of DFT.

a = 3.452 Å, b = 3.452 Å, c = 11.776 Å
α = 90.00°, β = 90.00°, γ = 90.00°
Fractional coordinates of all 8 atoms:
Co (0.750, 0.250, 0.000)
O (0.750, 0.750, 0.767)
S (0.750, 0.750, 0.894)
Co (0.250, 0.750, 0.000)
O (0.250, 0.250, 0.233)
S (0.250, 0.250, 0.106)
Hg (0.250, 0.250, 0.595)
Hg (0.750, 0.750, 0.405)

Energy above the lowest structure with this stoichiometry in meV/atom: 201.6
Size of the total moment in Bohr magnetons per cell: 0.02

# 4
Computed, not measured: a geometry-optimized CoHgSO structure at the PBE+U level of DFT.

a = 6.010 Å, b = 6.174 Å, c = 14.199 Å
α = 90.00°, β = 90.00°, γ = 90.00°
Last column: magnetic moment on the atom in μB.
Fractional coordinates of all 32 atoms:
Hg (0.347, 0.687, 0.072)  0.01
O (0.352, 0.316, 0.718)  0.15
Hg (0.653, 0.313, 0.928)  0.01
O (0.852, 0.316, 0.782)  0.15
S (0.680, 0.936, 0.083)  0.06
O (0.648, 0.684, 0.282)  0.15
Hg (0.847, 0.687, 0.428)  0.01
S (0.180, 0.564, 0.917)  0.06
Hg (0.347, 0.813, 0.572)  0.01
O (0.352, 0.184, 0.218)  0.15
S (0.820, 0.436, 0.083)  0.06
O (0.148, 0.816, 0.718)  0.15
Co (0.874, 0.875, 0.223)  2.64
S (0.180, 0.936, 0.417)  0.06
Hg (0.153, 0.187, 0.072)  0.01
Co (0.874, 0.625, 0.723)  2.63
O (0.148, 0.684, 0.218)  0.15
Co (0.374, 0.625, 0.777)  2.63
Co (0.126, 0.375, 0.277)  2.63
S (0.680, 0.564, 0.583)  0.06
Hg (0.153, 0.313, 0.572)  0.01
S (0.820, 0.064, 0.583)  0.06
Co (0.374, 0.875, 0.277)  2.64
Co (0.626, 0.125, 0.723)  2.64
O (0.648, 0.816, 0.782)  0.15
Hg (0.653, 0.187, 0.428)  0.01
S (0.320, 0.064, 0.917)  0.06
O (0.852, 0.184, 0.282)  0.15
Co (0.626, 0.375, 0.223)  2.63
S (0.320, 0.436, 0.417)  0.06
Hg (0.847, 0.813, 0.928)  0.01
Co (0.126, 0.125, 0.777)  2.64

Energy above the lowest structure with this stoichiometry in meV/atom: 165.3
Size of the total moment in Bohr magnetons per cell: 24.00

# 5
Computed, not measured: a geometry-optimized CoHgSO structure at the PBE+U level of DFT.

a = 3.961 Å, b = 3.961 Å, c = 8.171 Å
α = 90.00°, β = 90.00°, γ = 90.00°
Fractional coordinates of all 8 atoms:
Hg (0.750, 0.250, 0.000)
S (0.750, 0.750, 0.679)
Co (0.750, 0.750, 0.254)
O (0.750, 0.750, 0.492)
Co (0.250, 0.250, 0.746)
O (0.250, 0.250, 0.508)
Hg (0.250, 0.750, 0.000)
S (0.250, 0.250, 0.321)

Energy above the lowest structure with this stoichiometry in meV/atom: 510.7
Size of the total moment in Bohr magnetons per cell: 3.30

# 6
Computed, not measured: a geometry-optimized CoHgSO structure at the PBE+U level of DFT.

a = 4.668 Å, b = 4.668 Å, c = 6.572 Å
α = 90.00°, β = 90.00°, γ = 90.00°
Fractional coordinates of all 8 atoms:
Co (0.250, 0.250, 0.621)
O (0.250, 0.250, 0.885)
Co (0.750, 0.750, 0.379)
Hg (0.250, 0.250, 0.205)
S (0.250, 0.750, 0.500)
Hg (0.750, 0.750, 0.795)
O (0.750, 0.750, 0.115)
S (0.750, 0.250, 0.500)

Energy above the lowest structure with this stoichiometry in meV/atom: 407.8
Size of the total moment in Bohr magnetons per cell: 5.92

# 7
Computed, not measured: a geometry-optimized CoHgSO structure at the PBE+U level of DFT.

a = 5.786 Å, b = 3.722 Å, c = 12.963 Å
α = 90.00°, β = 90.00°, γ = 90.00°
Fractional coordinates of all 16 atoms:
S (0.734, 0.250, 0.579)
Co (0.826, 0.750, 0.682)
Hg (0.293, 0.250, 0.594)
O (0.163, 0.750, 0.689)
S (0.766, 0.750, 0.079)
O (0.337, 0.250, 0.189)
O (0.663, 0.750, 0.811)
Co (0.174, 0.250, 0.318)
Hg (0.207, 0.750, 0.094)
Hg (0.707, 0.750, 0.406)
O (0.837, 0.250, 0.311)
S (0.234, 0.250, 0.921)
Co (0.674, 0.250, 0.182)
Co (0.326, 0.750, 0.818)
Hg (0.793, 0.250, 0.906)
S (0.266, 0.750, 0.421)

Energy above the lowest structure with this stoichiometry in meV/atom: 66.9
Size of the total moment in Bohr magnetons per cell: 11.99

# 8
Computed, not measured: a geometry-optimized CoHgSO structure at the PBE+U level of DFT.

a = 6.810 Å, b = 7.243 Å, c = 6.043 Å
α = 90.00°, β = 90.00°, γ = 90.00°
Fractional coordinates of all 16 atoms:
S (0.382, 0.136, 0.529)
Hg (0.127, 0.893, 0.473)
Hg (0.627, 0.607, 0.527)
Co (0.798, 0.907, 0.900)
O (0.809, 0.893, 0.573)
S (0.618, 0.636, 0.971)
Co (0.298, 0.593, 0.100)
Hg (0.373, 0.107, 0.973)
Co (0.702, 0.093, 0.400)
Co (0.202, 0.407, 0.600)
S (0.118, 0.864, 0.029)
S (0.882, 0.364, 0.471)
O (0.309, 0.607, 0.427)
O (0.691, 0.107, 0.073)
O (0.191, 0.393, 0.927)
Hg (0.873, 0.393, 0.027)

Energy above the lowest structure with this stoichiometry in meV/atom: 48.1
Size of the total moment in Bohr magnetons per cell: 12.00

# 9
Computed, not measured: a geometry-optimized CoHgSO structure at the PBE+U level of DFT.

a = 5.862 Å, b = 6.979 Å, c = 7.512 Å
α = 90.00°, β = 90.00°, γ = 90.00°
Last column: magnetic moment on the atom in μB.
Fractional coordinates of all 16 atoms:
Hg (0.899, 0.791, 0.356)  0.02
Hg (0.399, 0.709, 0.644)  0.02
Hg (0.101, 0.291, 0.144)  0.02
S (0.497, 0.108, 0.156)  0.07
Co (0.639, 0.294, 0.394)  2.62
S (0.503, 0.608, 0.344)  0.07
Co (0.361, 0.794, 0.106)  2.62
Co (0.861, 0.706, 0.894)  2.62
O (0.467, 0.193, 0.591)  0.13
O (0.033, 0.807, 0.091)  0.13
O (0.967, 0.307, 0.409)  0.13
Co (0.139, 0.206, 0.606)  2.62
O (0.533, 0.693, 0.909)  0.13
Hg (0.601, 0.209, 0.856)  0.02
S (0.003, 0.892, 0.656)  0.07
S (0.997, 0.392, 0.844)  0.07

Energy above the lowest structure with this stoichiometry in meV/atom: 47.3
Size of the total moment in Bohr magnetons per cell: 12.00

# 10
Computed, not measured: a geometry-optimized CoHgSO structure at the PBE+U level of DFT.

a = 6.520 Å, b = 7.335 Å, c = 6.178 Å
α = 90.00°, β = 90.00°, γ = 90.00°
Fractional coordinates of all 16 atoms:
O (0.428, 0.129, 0.597)
S (0.896, 0.386, 0.656)
O (0.072, 0.129, 0.097)
Hg (0.592, 0.862, 0.470)
Hg (0.908, 0.862, 0.970)
Hg (0.408, 0.138, 0.970)
O (0.928, 0.871, 0.597)
S (0.396, 0.614, 0.656)
S (0.604, 0.386, 0.156)
Co (0.562, 0.352, 0.527)
Co (0.438, 0.648, 0.027)
Co (0.938, 0.352, 0.027)
Co (0.062, 0.648, 0.527)
Hg (0.092, 0.138, 0.470)
S (0.104, 0.614, 0.156)
O (0.572, 0.871, 0.097)

Energy above the lowest structure with this stoichiometry in meV/atom: 89.5
Size of the total moment in Bohr magnetons per cell: 12.00

# 11
Computed, not measured: a geometry-optimized CoHgSO structure at the PBE+U level of DFT.

a = 6.990 Å, b = 6.990 Å, c = 5.936 Å
α = 90.00°, β = 90.00°, γ = 27.94°
Last column: magnetic moment on the atom in μB.
Fractional coordinates of all 8 atoms:
S (0.697, 0.697, 0.046)  0.11
S (0.303, 0.303, 0.546)  0.11
O (0.908, 0.908, 0.004)  0.11
Co (0.672, 0.672, 0.441)  2.62
Hg (0.064, 0.064, 0.902)  0.03
O (0.092, 0.092, 0.504)  0.10
Co (0.328, 0.328, 0.941)  2.62
Hg (0.936, 0.936, 0.402)  0.03

Energy above the lowest structure with this stoichiometry in meV/atom: 158.6
Size of the total moment in Bohr magnetons per cell: 6.00

# 12
Computed, not measured: a geometry-optimized CoHgSO structure at the PBE+U level of DFT.

a = 6.154 Å, b = 8.052 Å, c = 5.677 Å
α = 90.00°, β = 90.00°, γ = 90.00°
Fractional coordinates of all 16 atoms:
S (0.026, 0.659, 0.085)
S (0.474, 0.659, 0.585)
Co (0.613, 0.921, 0.484)
O (0.596, 0.924, 0.131)
O (0.404, 0.076, 0.631)
O (0.904, 0.924, 0.631)
Hg (0.451, 0.659, 0.050)
S (0.974, 0.341, 0.585)
Hg (0.049, 0.659, 0.550)
Co (0.887, 0.921, 0.984)
Hg (0.951, 0.341, 0.050)
Hg (0.549, 0.341, 0.550)
Co (0.387, 0.079, 0.984)
Co (0.113, 0.079, 0.484)
S (0.526, 0.341, 0.085)
O (0.096, 0.076, 0.131)

Energy above the lowest structure with this stoichiometry in meV/atom: 0.0
Size of the total moment in Bohr magnetons per cell: 12.00